Record 1
NaSnBPt | GGA-PBE | optimized geometry

SG: F-43m, No. 216
Electronic total energy (eV/atom): -4.016

a = 4.498 Å, b = 4.498 Å, c = 4.498 Å
α = 60.00°, β = 60.00°, γ = 60.00°
Sites, in units of the cell vectors:
Sn 0.000 0.000 0.000
Pt 0.250 0.250 0.250
B 0.500 0.500 0.500
Na 0.750 0.750 0.750


Record 2
Tm2CdBrClO2 | GGA-PBE | optimized geometry

SG: Cm, No. 8
Electronic total energy (eV/atom): -5.587

a = 6.477 Å, b = 6.477 Å, c = 9.573 Å
α = 125.92°, β = 125.92°, γ = 31.64°
Sites, in units of the cell vectors:
Cd 0.021 0.021 0.004
Br 0.428 0.428 0.278
Cl 0.557 0.557 0.694
Tm 0.169 0.169 0.562
Tm 0.827 0.827 0.447
O 0.214 0.214 0.381
O 0.784 0.784 0.634


Record 3
Zr2Sc4P3N3 | GGA-PBE | optimized geometry

SG: C2/c, No. 15
Electronic total energy (eV/atom): -8.453

a = 5.848 Å, b = 5.848 Å, c = 12.480 Å
α = 103.60°, β = 103.60°, γ = 60.05°
Sites, in units of the cell vectors:
Sc 0.964 0.800 0.897
Sc 0.800 0.964 0.397
Sc 0.036 0.200 0.103
Sc 0.870 0.700 0.603
Sc 0.200 0.036 0.603
Sc 0.130 0.300 0.397
Sc 0.700 0.870 0.103
Sc 0.300 0.130 0.897
N 0.169 0.665 0.500
N 0.335 0.831 0.000
N 0.665 0.169 0.000
N 0.831 0.335 0.500
N 0.000 0.500 0.000
N 0.500 0.000 0.500
P 0.922 0.078 0.750
P 0.755 0.583 0.250
P 0.245 0.417 0.750
P 0.078 0.922 0.250
P 0.417 0.245 0.250
P 0.583 0.755 0.750
Zr 0.367 0.535 0.105
Zr 0.535 0.367 0.605
Zr 0.465 0.633 0.395
Zr 0.633 0.465 0.895


Record 4
LiSmCu | GGA-PBE | optimized geometry

SG: F-43m, No. 216
Electronic total energy (eV/atom): -2.934

a = 4.639 Å, b = 4.639 Å, c = 4.639 Å
α = 60.00°, β = 60.00°, γ = 60.00°
Sites, in units of the cell vectors:
Li 0.750 0.750 0.750
Sm 0.000 0.000 0.000
Cu 0.250 0.250 0.250


Record 5
BeFeTcAs | GGA-PBE | optimized geometry

SG: F-43m, No. 216
Electronic total energy (eV/atom): -6.782

a = 4.047 Å, b = 4.047 Å, c = 4.047 Å
α = 60.00°, β = 60.00°, γ = 60.00°
Sites, in units of the cell vectors:
Fe 0.750 0.750 0.750
As 0.000 0.000 0.000
Tc 0.250 0.250 0.250
Be 0.500 0.500 0.500


Record 6
RbSm2AuS4 | GGA-PBE | optimized geometry

SG: Cmcm, No. 63
Electronic total energy (eV/atom): -5.314

a = 7.299 Å, b = 7.299 Å, c = 14.308 Å
α = 90.00°, β = 90.00°, γ = 147.23°
Sites, in units of the cell vectors:
S 0.261 0.739 0.397
S 0.000 0.000 0.500
S 0.558 0.442 0.250
S 0.739 0.261 0.603
S 0.000 0.000 0.000
S 0.261 0.739 0.103
S 0.739 0.261 0.897
S 0.442 0.558 0.750
Au 0.159 0.841 0.250
Au 0.841 0.159 0.750
Sm 0.368 0.632 0.566
Sm 0.368 0.632 0.934
Sm 0.632 0.368 0.066
Sm 0.632 0.368 0.434
Rb 0.118 0.882 0.750
Rb 0.882 0.118 0.250


Record 7
GdInIr | GGA-PBE | optimized geometry

SG: F-43m, No. 216
Electronic total energy (eV/atom): -5.219

a = 4.781 Å, b = 4.781 Å, c = 4.781 Å
α = 60.00°, β = 60.00°, γ = 60.00°
Sites, in units of the cell vectors:
Ir 0.750 0.750 0.750
Gd 0.000 0.000 0.000
In 0.250 0.250 0.250


Record 8
Pr5C2Cl9 | GGA-PBE | optimized geometry

SG: P-1, No. 2
Electronic total energy (eV/atom): -5.518

a = 8.591 Å, b = 8.678 Å, c = 12.211 Å
α = 84.11°, β = 85.07°, γ = 61.23°
Sites, in units of the cell vectors:
Pr 0.868 0.728 0.732
Pr 0.774 0.071 0.257
Pr 0.202 0.688 0.499
Pr 0.132 0.272 0.268
Pr 0.606 0.597 0.222
Pr 0.798 0.312 0.501
Pr 0.897 0.298 0.000
Pr 0.226 0.929 0.743
Pr 0.103 0.702 0.000
Pr 0.394 0.403 0.778
Cl 0.543 0.670 0.447
Cl 0.840 0.131 0.738
Cl 0.511 0.016 0.768
Cl 0.216 0.961 0.975
Cl 0.489 0.984 0.232
Cl 0.822 0.950 0.493
Cl 0.215 0.329 0.034
Cl 0.080 0.342 0.773
Cl 0.784 0.039 0.025
Cl 0.920 0.658 0.227
Cl 0.598 0.595 0.723
Cl 0.000 0.500 0.500
Cl 0.457 0.330 0.553
Cl 0.402 0.405 0.277
Cl 0.178 0.050 0.507
Cl 0.500 0.500 0.000
Cl 0.785 0.671 0.966
Cl 0.160 0.869 0.262
C 0.169 0.691 0.691
C 0.831 0.309 0.309
C 0.858 0.302 0.191
C 0.142 0.698 0.809


Record 9
NbGa | GGA-PBE | optimized geometry

SG: P-6m2, No. 187
Electronic total energy (eV/atom): -6.737

a = 2.960 Å, b = 2.960 Å, c = 4.557 Å
α = 90.00°, β = 90.00°, γ = 120.00°
Sites, in units of the cell vectors:
Nb 0.333 0.667 0.250
Ga 0.667 0.333 0.750


Record 10
LiNb2Tl | GGA-PBE | optimized geometry

SG: F-43m, No. 216
Electronic total energy (eV/atom): -5.638

a = 4.733 Å, b = 4.733 Å, c = 4.733 Å
α = 60.00°, β = 60.00°, γ = 60.00°
Sites, in units of the cell vectors:
Li 0.250 0.250 0.250
Nb 0.750 0.750 0.750
Nb 0.000 0.000 0.000
Tl 0.500 0.500 0.500


Record 11
ZnInSb | GGA-PBE | optimized geometry

SG: F-43m, No. 216
Electronic total energy (eV/atom): -2.581

a = 4.983 Å, b = 4.983 Å, c = 4.983 Å
α = 60.00°, β = 60.00°, γ = 60.00°
Sites, in units of the cell vectors:
Zn 0.750 0.750 0.750
In 0.250 0.250 0.250
Sb 0.000 0.000 0.000


Record 12
RbHoPbSe3 | GGA-PBE | optimized geometry

SG: Cmcm, No. 63
Electronic total energy (eV/atom): -4.472

a = 8.867 Å, b = 8.867 Å, c = 12.012 Å
α = 90.00°, β = 90.00°, γ = 152.78°
Sites, in units of the cell vectors:
Rb 0.317 0.683 0.250
Rb 0.683 0.317 0.750
Se 0.007 0.993 0.750
Se 0.387 0.613 0.504
Se 0.613 0.387 0.496
Se 0.613 0.387 0.004
Se 0.993 0.007 0.250
Se 0.387 0.613 0.996
Pb 0.395 0.605 0.750
Pb 0.605 0.395 0.250
Ho 0.000 0.000 0.500
Ho 0.000 0.000 0.000


Question: electronic total energy of number 3 (Zr2Sc4P3N3)?
Answer: -8.453 eV/atom